# 1
A plane-wave DFT calculation with PBE-GGA was carried out for a geometry-optimized TiNi structure.

Output
**DFT formation energy**: -0.39 eV per atom
**E**: -7.2326 eV per atom
**N(E_F)**: 0.8006 states/eV per atom
**Size of the total moment**: 0.00 μB/cell

abc: 10.8731 4.0386 5.0316
angles: 90.00 90.00 90.00
Atoms (fractional coordinates):
Ti  0.0413  0.2500  0.2469
Ti  0.5413  0.2500  0.2531
Ti  0.9587  0.7500  0.7531
Ti  0.4587  0.7500  0.7469
Ti  0.7927  0.2500  0.4746
Ti  0.2927  0.2500  0.0254
Ti  0.2073  0.7500  0.5254
Ti  0.7073  0.7500  0.9746
Ni  0.1011  0.2500  0.7397
Ni  0.6011  0.2500  0.7603
Ni  0.8989  0.7500  0.2603
Ni  0.3989  0.7500  0.2397
Ni  0.8477  0.2500  0.9665
Ni  0.3477  0.2500  0.5335
Ni  0.1523  0.7500  0.0335
Ni  0.6523  0.7500  0.4665

# 2
A plane-wave DFT calculation with PBE-GGA was carried out for a geometry-optimized Pm2NdHoSb4 structure.

Output
**E**: -5.5811 eV per atom
**N(E_F)**: 0.1295 states/eV per atom
**Size of the total moment**: 0.00 μB/cell

abc: 4.4731 7.7426 7.7413
angles: 70.52 90.00 90.00
Atoms (fractional coordinates):
Pm  0.0000  0.0000  0.0000
Pm  0.5000  0.0000  0.5000
Nd  0.5000  0.5000  0.0000
Ho  0.0000  0.5000  0.5000
Sb  0.0000  0.7485  0.7459
Sb  0.0000  0.2515  0.2541
Sb  0.5000  0.7452  0.2560
Sb  0.5000  0.2548  0.7440